First-principles (PBE) data for crystalline Nd2P2Pt3 at its relaxed geometry, as listed in Alexandria via LeMat-Bulk.

Geometry as extended XYZ:
```
7
Lattice="-0.129 -2.449 3.189 3.663 -1.752 -3.735 2.355 5.278 4.149" Properties=species:S:1:pos:R:3 pbc="T T T"
P 4.300 0.858 3.371
P 1.590 0.219 0.232
Nd 3.110 -2.184 0.986
Nd 2.779 3.261 2.617
Pt 4.010 0.741 0.731
Pt -0.064 -1.225 1.595
Pt 1.880 0.336 2.872
```

Summary:
As for the total energy: -45.58 eV/f.u. The value obtained for the calculated formation energy is -1014 meV/atom. Its magnetization is 0.0 μB/cell.